No. 1
Computed, not measured: a relaxed structure of Nd3IrSeCl at the PBE level of DFT.

Unit cell a=8.706 b=4.120 c=10.270 alpha=90.00 beta=92.04 gamma=90.00
Space group P2_1/m (No. 11)
Inequivalent atoms, fractional coordinates:
Nd  0.117  0.250  0.358 (multiplicity 2)
Nd  0.155  0.250  0.911 (multiplicity 2)
Nd  0.354  0.750  0.635 (multiplicity 2)
Ir  0.120  0.250  0.643 (multiplicity 2)
Se  0.385  0.750  0.345 (multiplicity 2)
Cl  0.375  0.750  0.919 (multiplicity 2)

=====

No. 2
Computed, not measured: a relaxed structure of Gd12Mg3H5 at the PBE level of DFT.

Unit cell a=15.768 b=15.768 c=15.768 alpha=90.00 beta=90.00 gamma=90.00
Space group Ia-3d (No. 230)
Inequivalent atoms, fractional coordinates:
Gd  0.044  0.053  0.649 (multiplicity 96)
Mg  0.000  0.250  0.125 (multiplicity 24)
H  0.000  0.000  0.000 (multiplicity 16)
H  0.000  0.250  0.375 (multiplicity 24)

=====

No. 3
Computed, not measured: a relaxed structure of ZrSc2SiH at the PBE level of DFT.

Unit cell a=4.307 b=4.307 c=4.320 alpha=90.00 beta=90.00 gamma=90.00
Space group P4/mmm (No. 123)
Inequivalent atoms, fractional coordinates:
Zr  0.000  0.000  0.000 (multiplicity 1)
Sc  0.000  0.500  0.500 (multiplicity 2)
Si  0.500  0.500  0.000 (multiplicity 1)
H  0.000  0.000  0.500 (multiplicity 1)

## Properties
Energy above the most stable polymorph in this dataset in eV per atom: 0.000

=====

No. 4
Computed, not measured: a relaxed structure of Cs3Tm3InSe8 at the PBE level of DFT.

Unit cell a=14.270 b=8.224 c=9.836 alpha=90.00 beta=118.97 gamma=90.00
Space group C2/m (No. 12)
Inequivalent atoms, fractional coordinates:
Cs  0.000  0.000  0.000 (multiplicity 2)
Cs  0.250  0.250  0.000 (multiplicity 4)
Tm  0.000  0.500  0.500 (multiplicity 2)
Tm  0.250  0.250  0.500 (multiplicity 4)
In  0.000  0.000  0.500 (multiplicity 2)
Se  0.023  0.250  0.318 (multiplicity 8)
Se  0.228  0.000  0.682 (multiplicity 4)
Se  0.228  0.500  0.684 (multiplicity 4)

=====

No. 5
Computed, not measured: a relaxed structure of ZnInMo2 at the PBE level of DFT.

Unit cell a=3.227 b=4.760 c=9.148 alpha=90.00 beta=90.00 gamma=90.00
Space group Cmm2 (No. 35)
Inequivalent atoms, fractional coordinates:
Zn  0.000  0.000  0.000 (multiplicity 2)
In  0.000  0.500  0.272 (multiplicity 2)
Mo  0.000  0.000  0.541 (multiplicity 2)
Mo  0.000  0.500  0.764 (multiplicity 2)

## Properties
Energy above the most stable polymorph in this dataset in eV per atom: 0.099
Formation enthalpy at 0 K in meV per atom: 252

=====

No. 6
Computed, not measured: a relaxed structure of HgSbPb at the PBE level of DFT.

Unit cell a=5.3955 b=5.3955 c=3.4017 alpha=90.00 beta=90.00 gamma=120.00
Space group P3m1 (No. 156)
Inequivalent atoms, fractional coordinates:
Hg  0.0000  0.0000  0.0000 (multiplicity 1)
Sb  0.3333  0.6667  0.7544 (multiplicity 1)
Pb  0.6667  0.3333  0.4329 (multiplicity 1)

## Properties
Energy above the most stable polymorph in this dataset in eV per atom: 0.001

=====

Results for E_tot: -5.98, -9.65, -6.45, -4.52, -6.17, -2.63 (in eV per atom, following the order of the records).
Results for M_tot: 0.739, 87.874, 0.000, 0.000, 0.000, 0.000 (in μB/f.u., following the order of the records).